# PaCu9Pd2 (GGA-PBE, relaxed)
data_PaCu9Pd2
_chemical_formula_sum 'Pa3 Cu27 Pd6'
_cell_length_a 4.9572
_cell_length_b 4.9572
_cell_length_c 23.5633
_cell_angle_alpha 90.00
_cell_angle_beta 90.00
_cell_angle_gamma 120.00
_symmetry_space_group_name_H-M 'R -3 m'
_symmetry_Int_Tables_number 166
_symmetry_space_group_name_Hall '-R 3 2"'
loop_
_atom_site_label
_atom_site_type_symbol
_atom_site_fract_x
_atom_site_fract_y
_atom_site_fract_z
Pa1 Pa 0.0000 0.0000 0.0000
Cu1 Cu 0.0000 0.0000 0.3337
Cu2 Cu 0.0000 0.0000 0.5000
Cu3 Cu 0.0052 0.5026 0.9138
Pd1 Pd 0.0000 0.0000 0.1429
# magnetic moment: 0.000 μB per atom
# DFT formation energy: -0.0915 eV/atom
# DFT total energy: -4.820 eV per atom



# PaCuPd2 (GGA-PBE, relaxed)
data_PaCuPd2
_chemical_formula_sum 'Pa4 Cu4 Pd8'
_cell_length_a 7.0494
_cell_length_b 7.4089
_cell_length_c 5.4198
_cell_angle_alpha 90.00
_cell_angle_beta 90.00
_cell_angle_gamma 90.00
_symmetry_space_group_name_H-M 'P n m a'
_symmetry_Int_Tables_number 62
loop_
_symmetry_equiv_pos_as_xyz
'x,y,z'
'-x,-y,-z'
'-x+1/2,-y,z+1/2'
'x+1/2,y,-z+1/2'
'x+1/2,-y+1/2,-z+1/2'
'-x+1/2,y+1/2,z+1/2'
'-x,y+1/2,-z'
'x,-y+1/2,z'
loop_
_atom_site_label
_atom_site_type_symbol
_atom_site_fract_x
_atom_site_fract_y
_atom_site_fract_z
Pa1 Pa 0.0278 0.2500 0.1244
Cu1 Cu 0.1101 0.7500 0.3708
Pd1 Pd 0.1972 0.0529 0.5731
# magnetic moment: 0.000 μB per atom
# DFT formation energy: -0.4591 eV/atom
# DFT total energy: -6.454 eV per atom
# energy above the lowest structure with this stoichiometry: 0.00 kcal/mol of atoms



# PaCuPd4 (GGA-PBE, relaxed)
data_PaCuPd4
_chemical_formula_sum 'Pa2 Cu2 Pd8'
_cell_length_a 5.2341
_cell_length_b 5.6246
_cell_length_c 7.2920
_cell_angle_alpha 83.69
_cell_angle_beta 72.70
_cell_angle_gamma 84.23
_symmetry_space_group_name_H-M 'P -1'
_symmetry_Int_Tables_number 2
loop_
_symmetry_equiv_pos_as_xyz
'x,y,z'
'-x,-y,-z'
loop_
_atom_site_label
_atom_site_type_symbol
_atom_site_fract_x
_atom_site_fract_y
_atom_site_fract_z
Pa1 Pa 0.1942 0.2226 0.1403
Cu1 Cu 0.2805 0.7973 0.4738
Pd1 Pd 0.1827 0.7235 0.1424
Pd2 Pd 0.2099 0.3131 0.4841
Pd3 Pd 0.3268 0.0012 0.7806
Pd4 Pd 0.3344 0.5012 0.7891
# magnetic moment: 0.000 μB per atom
# DFT formation energy: -0.5031 eV/atom
# DFT total energy: -6.230 eV per atom
# energy above the lowest structure with this stoichiometry: 0.00 kcal/mol of atoms



What is the DFT total energy in the first record? -4.820 eV per atom